Density functional theory data (PBE) for crystalline InP2Ir at its relaxed geometry.

Cell: 4.561 4.561 4.561 Å, 60.00 60.00 60.00°
Fractional positions:
In  0.500  0.500  0.500
Ir  0.750  0.750  0.750
P  0.250  0.250  0.250
P  0.000  0.000  0.000

=====

Density functional theory data (PBE) for crystalline In2PIr at its relaxed geometry.

Cell: 3.978 4.057 5.190 Å, 67.18 90.00 90.00°
Fractional positions:
P  0.500  0.559  0.765
In  0.000  0.978  0.919
In  0.500  0.275  0.322
Ir  0.000  0.687  0.494

=====

Calculated total energy in eV/atom, matching the order above: -5.02 -5.06
ΔE_f in eV/atom, matching the order above: 0.584 -0.128